A relaxed structure of Cs2Ca2S3O12, computed with GGA-PBEsol.

The space group is P2_13 (No. 198) and the conventional cell measures 10.718, 10.718 and 10.718 Å, with angles of 90.00, 90.00 and 90.00 degrees. The asymmetric unit holds Cs at (0.048, 0.048, 0.048), Cs at (0.182, 0.318, 0.682), Ca at (0.097, 0.903, 0.403), Ca at (0.166, 0.666, 0.834), S at (0.015, 0.219, 0.375), O at (0.007, 0.087, 0.334), O at (0.008, 0.059, 0.737), O at (0.040, 0.800, 0.223) and O at (0.101, 0.855, 0.756).

The calculation puts the energy relative to the elements, uncorrected at -206.9 kJ/mol of atoms.


A relaxed structure of CsCa2Ta3O10, computed with GGA-PBEsol.

The space group is P4/mmm (No. 123) and the conventional cell measures 3.911, 3.911 and 15.234 Å, with angles of 90.00, 90.00 and 90.00 degrees. The asymmetric unit holds Cs at (0.000, 0.000, 0.000), Ca at (0.000, 0.000, 0.351), Ta at (0.500, 0.500, 0.223), Ta at (0.500, 0.500, 0.500), O at (0.000, 0.500, 0.251), O at (0.000, 0.500, 0.500), O at (0.500, 0.500, 0.106) and O at (0.500, 0.500, 0.372).

The calculation puts the energy relative to the elements, uncorrected at -280.3 kJ/mol of atoms.


A relaxed structure of CsCaPPd2, computed with GGA-PBEsol.

The space group is P4/mmm (No. 123) and the conventional cell measures 4.978, 4.978 and 5.933 Å, with angles of 90.00, 90.00 and 90.00 degrees. The asymmetric unit holds Cs at (0.000, 0.000, 0.000), Ca at (0.000, 0.000, 0.500), P at (0.500, 0.500, 0.500) and Pd at (0.000, 0.500, 0.000).

Its energy of formation from the pure elements is 1.27 eV per atom.


A relaxed structure of Cs2CaPb2, computed with GGA-PBEsol.

The space group is I4/mmm (No. 139) and the conventional cell measures 4.915, 4.915 and 16.990 Å, with angles of 90.00, 90.00 and 90.00 degrees. The asymmetric unit holds Cs at (0.000, 0.500, 0.250), Ca at (0.000, 0.000, 0.000) and Pb at (0.000, 0.000, 0.417).

Its energy of formation from the pure elements is -0.02 eV per atom.


A relaxed structure of CsCa2Pb2, computed with GGA-PBEsol.

The space group is P4/mbm (No. 127) and the conventional cell measures 9.822, 9.822 and 3.476 Å, with angles of 90.00, 90.00 and 90.00 degrees. The asymmetric unit holds Cs at (0.000, 0.000, 0.000), Ca at (0.127, 0.373, 0.000) and Pb at (0.168, 0.668, 0.500).

Its energy of formation from the pure elements is -0.41 eV per atom.


A relaxed structure of CsCaTl2Pb, computed with GGA-PBEsol.

The space group is P4/mmm (No. 123) and the conventional cell measures 6.079, 6.079 and 6.238 Å, with angles of 90.00, 90.00 and 90.00 degrees. The asymmetric unit holds Cs at (0.000, 0.000, 0.000), Ca at (0.500, 0.500, 0.500), Tl at (0.000, 0.500, 0.000) and Pb at (0.000, 0.000, 0.500).

Its energy of formation from the pure elements is 0.77 eV per atom.


A relaxed structure of CsCa3Pd, computed with GGA-PBEsol.

The space group is Pm-3m (No. 221) and the conventional cell measures 5.789, 5.789 and 5.789 Å, with angles of 90.00, 90.00 and 90.00 degrees. The asymmetric unit holds Cs at (0.000, 0.000, 0.000), Ca at (0.000, 0.500, 0.500) and Pd at (0.500, 0.500, 0.500).

Its energy of formation from the pure elements is -0.17 eV per atom.


A relaxed structure of CsCa2RhSe, computed with GGA-PBEsol.

The space group is P4/mmm (No. 123) and the conventional cell measures 5.605, 5.605 and 4.820 Å, with angles of 90.00, 90.00 and 90.00 degrees. The asymmetric unit holds Cs at (0.000, 0.000, 0.000), Ca at (0.000, 0.500, 0.500), Rh at (0.500, 0.500, 0.000) and Se at (0.500, 0.500, 0.500).

The calculation puts the energy relative to the elements, uncorrected at -17.1 kJ/mol of atoms.


A relaxed structure of CsSrCa2Rh, computed with GGA-PBEsol.

The space group is P4/mmm (No. 123) and the conventional cell measures 5.693, 5.693 and 5.957 Å, with angles of 90.00, 90.00 and 90.00 degrees. The asymmetric unit holds Cs at (0.000, 0.000, 0.000), Sr at (0.500, 0.500, 0.000), Ca at (0.000, 0.500, 0.500) and Rh at (0.500, 0.500, 0.500).

Its energy of formation from the pure elements is -0.04 eV per atom.


A relaxed structure of CsCaRu3, computed with GGA-PBEsol.

The space group is Pm-3m (No. 221) and the conventional cell measures 4.845, 4.845 and 4.845 Å, with angles of 90.00, 90.00 and 90.00 degrees. The asymmetric unit holds Cs at (0.000, 0.000, 0.000), Ca at (0.500, 0.500, 0.500) and Ru at (0.000, 0.000, 0.500).

Its energy of formation from the pure elements is 2.29 eV per atom.


A relaxed structure of Cs3CaRu, computed with GGA-PBEsol.

The space group is Pm-3m (No. 221) and the conventional cell measures 6.003, 6.003 and 6.003 Å, with angles of 90.00, 90.00 and 90.00 degrees. The asymmetric unit holds Cs at (0.000, 0.000, 0.500), Ca at (0.500, 0.500, 0.500) and Ru at (0.000, 0.000, 0.000).

Its energy of formation from the pure elements is 1.02 eV per atom.


A relaxed structure of CsCa3Ru, computed with GGA-PBEsol.

The space group is Pm-3m (No. 221) and the conventional cell measures 5.542, 5.542 and 5.542 Å, with angles of 90.00, 90.00 and 90.00 degrees. The asymmetric unit holds Cs at (0.000, 0.000, 0.000), Ca at (0.000, 0.000, 0.500) and Ru at (0.500, 0.500, 0.500).

Its energy of formation from the pure elements is 1.85 eV per atom.


A relaxed structure of CsCa2TiS, computed with GGA-PBEsol.

The space group is P4/mmm (No. 123) and the conventional cell measures 5.703, 5.703 and 5.874 Å, with angles of 90.00, 90.00 and 90.00 degrees. The asymmetric unit holds Cs at (0.000, 0.000, 0.000), Ca at (0.000, 0.500, 0.500), Ti at (0.000, 0.000, 0.500) and S at (0.500, 0.500, 0.000).

The calculation puts the energy relative to the elements, uncorrected at 70.9 kJ/mol of atoms.


A relaxed structure of CsCa3Sb, computed with GGA-PBEsol.

The space group is Pm-3m (No. 221) and the conventional cell measures 5.596, 5.596 and 5.596 Å, with angles of 90.00, 90.00 and 90.00 degrees. The asymmetric unit holds Cs at (0.000, 0.000, 0.000), Ca at (0.000, 0.000, 0.500) and Sb at (0.500, 0.500, 0.500).

The calculation puts the energy relative to the elements, uncorrected at 85.8 kJ/mol of atoms.


A relaxed structure of CsCaSbTe2, computed with GGA-PBEsol.

The space group is P4/mmm (No. 123) and the conventional cell measures 5.874, 5.874 and 5.783 Å, with angles of 90.00, 90.00 and 90.00 degrees. The asymmetric unit holds Cs at (0.000, 0.000, 0.000), Ca at (0.500, 0.500, 0.500), Sb at (0.500, 0.500, 0.000) and Te at (0.000, 0.500, 0.500).

The calculation puts the energy relative to the elements, uncorrected at -33.9 kJ/mol of atoms.


A relaxed structure of CsCaSb2Te, computed with GGA-PBEsol.

The space group is P4/mmm (No. 123) and the conventional cell measures 5.796, 5.796 and 5.843 Å, with angles of 90.00, 90.00 and 90.00 degrees. The asymmetric unit holds Cs at (0.000, 0.000, 0.000), Ca at (0.500, 0.500, 0.500), Sb at (0.000, 0.500, 0.500) and Te at (0.500, 0.500, 0.000).

The calculation puts the energy relative to the elements, uncorrected at -13.0 kJ/mol of atoms.


A relaxed structure of CsCa2Si2, computed with GGA-PBEsol.

The space group is I4/mmm (No. 139) and the conventional cell measures 5.382, 5.382 and 10.475 Å, with angles of 90.00, 90.00 and 90.00 degrees. The asymmetric unit holds Cs at (0.000, 0.000, 0.000), Ca at (0.000, 0.500, 0.250) and Si at (0.000, 0.000, 0.388).

The calculation puts the energy relative to the elements, uncorrected at -13.1 kJ/mol of atoms.


A relaxed structure of CsCa2Sn2, computed with GGA-PBEsol.

The space group is P4/mbm (No. 127) and the conventional cell measures 9.739, 9.739 and 3.388 Å, with angles of 90.00, 90.00 and 90.00 degrees. The asymmetric unit holds Cs at (0.000, 0.000, 0.000), Ca at (0.127, 0.373, 0.000) and Sn at (0.168, 0.668, 0.500).

Its energy of formation from the pure elements is -0.48 eV per atom.


A relaxed structure of CsSr2Ca2, computed with GGA-PBEsol.

The space group is I4/mmm (No. 139) and the conventional cell measures 4.808, 4.808 and 26.005 Å, with angles of 90.00, 90.00 and 90.00 degrees. The asymmetric unit holds Cs at (0.000, 0.000, 0.000), Sr at (0.000, 0.000, 0.372) and Ca at (0.000, 0.500, 0.250).

Its energy of formation from the pure elements is 0.27 eV per atom.


A relaxed structure of Cs2SrCaTi, computed with GGA-PBEsol.

The space group is P4/mmm (No. 123) and the conventional cell measures 7.217, 7.217 and 5.810 Å, with angles of 90.00, 90.00 and 90.00 degrees. The asymmetric unit holds Cs at (0.000, 0.500, 0.000), Sr at (0.000, 0.000, 0.500), Ca at (0.500, 0.500, 0.000) and Ti at (0.500, 0.500, 0.500).

Its energy of formation from the pure elements is 1.03 eV per atom.


Respective E values: -6.48; -8.86; -2.89; -2.42; -3.05; -1.70; -2.83; -3.62; -3.08; -4.43; -2.01; -1.65; -2.85; -1.49; -3.29; -3.28; -3.48; -3.23; -1.50; -1.80 eV/atom.